Below is a relaxed structure of MnTcOF2, with properties calculated at the PBE+U level.

Output
Crystal system: tetragonal
Raw total energy: -31.401 eV per cell
V: 68.00 Å³ per cell
Energy relative to the lowest polymorph listed for this composition: 0.049 eV per atom

a b c (Å): 4.111 4.111 4.024
angles (deg): 90.00 90.00 90.00
Site moments in Bohr magnetons follow the coordinates.
Atoms (fractional coordinates):
Mn: 0.000 0.000 0.000  -4.46
Tc: 0.500 0.500 0.500  -4.05
O: 0.000 0.000 0.500  -0.08
F: 0.000 0.500 0.000  -0.09
F: 0.500 0.000 0.000  -0.09